[1]
The following is a PBE-GGA calculation of an optimized crystal structure of Tb2ErIn2, from Alexandria.

Cell: 4.889 6.019 6.019 Å, 68.96 66.04 66.04°
Sites, in units of the cell vectors:
In1 0.500 0.713 0.287
Tb1 0.194 0.306 0.306
In2 0.500 0.287 0.713
Er1 0.000 0.000 0.000
Tb2 0.806 0.694 0.694

Computed properties:
E above lowest polymorph   0.023 eV per atom
D(E_F)   5.98 states/eV/f.u.
Energy of formation   -0.355 eV/atom
Size of the total moment   0.00 μB per cell
SG   Immm, No. 71

=====

[2]
The following is a PBE-GGA calculation of an optimized crystal structure of Cr2Co, from Alexandria.

Cell: 11.556 11.556 11.556 Å, 167.81 167.81 17.27°
Sites, in units of the cell vectors:
Co1 0.750 0.250 0.500
Cr1 0.172 0.672 0.500
Cr2 0.578 0.578 0.000
Cr3 0.328 0.828 0.500
Co2 0.000 0.000 0.000
Cr4 0.422 0.422 0.000

Computed properties:
D(E_F)   2.97 states/eV/f.u.
Energy of formation   0.275 eV/atom
Size of the total moment   0.00 μB per cell
SG   I4_1/amd, No. 141

=====

[3]
The following is a PBE-GGA calculation of an optimized crystal structure of SiTe2RhN, from Alexandria.

Cell: 5.381 5.381 3.251 Å, 90.00 90.00 90.00°
Sites, in units of the cell vectors:
N1 0.000 0.000 0.500
Rh1 0.500 0.500 0.500
Te1 0.500 0.000 0.000
Si1 0.000 0.000 0.000
Te2 0.000 0.500 0.000

Computed properties:
E above lowest polymorph   0.000 eV per atom
D(E_F)   3.72 states/eV/f.u.
Size of the total moment   0.00 μB per cell
SG   P4/mmm, No. 123

=====

[4]
The following is a PBE-GGA calculation of an optimized crystal structure of Na2Ho2NpO6, from Alexandria.

Cell: 5.981 5.981 5.939 Å, 99.23 99.23 120.24°
Sites, in units of the cell vectors:
O1 0.394 0.052 0.699
Ho1 0.666 0.334 0.500
O2 0.052 0.394 0.699
Np1 0.000 0.000 0.500
Na1 0.828 0.172 0.000
O3 0.252 0.252 0.306
O4 0.748 0.748 0.694
O5 0.948 0.606 0.301
O6 0.606 0.948 0.301
Na2 0.172 0.828 0.000
Ho2 0.334 0.666 0.500

Computed properties:
E_tot   -85.361 eV per cell
D(E_F)   8.65 states/eV/f.u.
Size of the total moment   3.00 μB per cell
SG   C2/m, No. 12